# 1
Entry from the Alexandria database: crystalline Sm2Th2Pt3 at its relaxed geometry (PBE).

## Properties
VASP energy   -0.5174 Ry per atom
Calculated formation energy   -0.983 eV/atom

Structure (CIF):
```
data_Sm2Th2Pt3
_cell_length_a 4.116
_cell_length_b 9.301
_cell_length_c 10.406
_cell_angle_alpha 82.18
_cell_angle_beta 78.59
_cell_angle_gamma 77.22
_space_group_name_H-M_alt 'P 1'
_space_group_IT_number 1
_space_group_name_Hall 'P 1'
loop_
_atom_site_label
_atom_site_fract_x
_atom_site_fract_y
_atom_site_fract_z
Pt1 0.178 0.556 0.088
Pt2 0.077 0.989 0.857
Pt3 0.822 0.444 0.912
Pt4 0.345 0.791 0.519
Pt5 0.655 0.209 0.481
Pt6 0.923 0.011 0.143
Th1 0.581 0.789 0.048
Th2 0.304 0.058 0.335
Th3 0.696 0.942 0.665
Th4 0.419 0.211 0.952
Sm1 0.979 0.689 0.353
Sm2 0.702 0.378 0.217
Sm3 0.021 0.311 0.647
Sm4 0.298 0.622 0.783
```

---

# 2
Entry from the Alexandria database: crystalline CoSnRh3 at its relaxed geometry (PBE).

## Properties
E above lowest polymorph   0.00 eV per formula unit
VASP energy   -0.4379 Ry per atom
Calculated formation energy   0.674 eV/atom

Structure (CIF):
```
data_CoSnRh3
_cell_length_a 4.486
_cell_length_b 4.486
_cell_length_c 4.486
_cell_angle_alpha 90.00
_cell_angle_beta 90.00
_cell_angle_gamma 90.00
_space_group_name_H-M_alt 'P 1'
_space_group_IT_number 1
_space_group_name_Hall 'P 1'
loop_
_atom_site_label
_atom_site_fract_x
_atom_site_fract_y
_atom_site_fract_z
Rh1 0.000 0.000 0.500
Rh2 0.500 0.000 0.000
Rh3 0.000 0.500 0.000
Co1 0.000 0.000 0.000
Sn1 0.500 0.500 0.500
```

---

# 3
Entry from the Alexandria database: crystalline K2BaPuI8 at its relaxed geometry (PBE).

## Properties
VASP energy   -0.2813 Ry per atom

Structure (CIF):
```
data_K2BaPuI8
_cell_length_a 7.942
_cell_length_b 7.934
_cell_length_c 10.119
_cell_angle_alpha 89.98
_cell_angle_beta 90.00
_cell_angle_gamma 92.65
_space_group_name_H-M_alt 'P 1'
_space_group_IT_number 1
_space_group_name_Hall 'P 1'
loop_
_atom_site_label
_atom_site_fract_x
_atom_site_fract_y
_atom_site_fract_z
I1 0.324 0.208 0.001
I2 0.353 0.249 0.500
I3 0.676 0.792 0.999
I4 0.134 0.775 0.215
I5 0.647 0.751 0.500
I6 0.866 0.225 0.785
I7 0.865 0.225 0.215
I8 0.135 0.775 0.785
Pu1 0.000 0.000 0.000
K1 0.500 0.499 0.751
K2 0.500 0.501 0.249
Ba1 0.000 0.000 0.500
```

---

# 4
Entry from the Alexandria database: crystalline Na2Ge3P2 at its relaxed geometry (PBE).

## Properties
VASP energy   -0.2856 Ry per atom
Calculated formation energy   0.015 eV/atom

Structure (CIF):
```
data_Na2Ge3P2
_cell_length_a 4.350
_cell_length_b 5.598
_cell_length_c 6.949
_cell_angle_alpha 109.41
_cell_angle_beta 90.00
_cell_angle_gamma 112.87
_space_group_name_H-M_alt 'P 1'
_space_group_IT_number 1
_space_group_name_Hall 'P 1'
loop_
_atom_site_label
_atom_site_fract_x
_atom_site_fract_y
_atom_site_fract_z
Ge1 0.500 0.000 0.000
Ge2 0.609 0.217 0.424
Ge3 0.391 0.783 0.576
P1 0.848 0.695 0.739
P2 0.152 0.305 0.261
Na1 0.847 0.694 0.190
Na2 0.153 0.306 0.810
```

---

# 5
Entry from the Alexandria database: crystalline K3RbSb at its relaxed geometry (PBE).

## Properties
E above lowest polymorph   3.68 eV per formula unit
VASP energy   -0.0868 Ry per atom

Structure (CIF):
```
data_K3RbSb
_cell_length_a 6.741
_cell_length_b 6.741
_cell_length_c 6.741
_cell_angle_alpha 90.00
_cell_angle_beta 90.00
_cell_angle_gamma 90.00
_space_group_name_H-M_alt 'P 1'
_space_group_IT_number 1
_space_group_name_Hall 'P 1'
loop_
_atom_site_label
_atom_site_fract_x
_atom_site_fract_y
_atom_site_fract_z
K1 0.500 0.000 0.000
K2 0.000 0.000 0.500
K3 0.000 0.500 0.000
Rb1 0.000 0.000 0.000
Sb1 0.500 0.500 0.500
```

---

# 6
Entry from the Alexandria database: crystalline RbAl3O at its relaxed geometry (PBE).

## Properties
E above lowest polymorph   9.00 eV per formula unit
VASP energy   -0.1056 Ry per atom

Structure (CIF):
```
data_RbAl3O
_cell_length_a 6.195
_cell_length_b 6.195
_cell_length_c 6.195
_cell_angle_alpha 90.00
_cell_angle_beta 90.00
_cell_angle_gamma 90.00
_space_group_name_H-M_alt 'P 1'
_space_group_IT_number 1
_space_group_name_Hall 'P 1'
loop_
_atom_site_label
_atom_site_fract_x
_atom_site_fract_y
_atom_site_fract_z
Al1 0.500 0.000 0.000
Al2 0.000 0.500 0.000
Al3 0.000 0.000 0.500
O1 0.500 0.500 0.500
Rb1 0.000 0.000 0.000
```

---

# 7
Entry from the Alexandria database: crystalline NaNdCu2Cl8 at its relaxed geometry (PBE).

## Properties
VASP energy   -0.2687 Ry per atom

Structure (CIF):
```
data_NaNdCu2Cl8
_cell_length_a 6.499
_cell_length_b 6.499
_cell_length_c 8.256
_cell_angle_alpha 113.18
_cell_angle_beta 113.18
_cell_angle_gamma 90.00
_space_group_name_H-M_alt 'P 1'
_space_group_IT_number 1
_space_group_name_Hall 'P 1'
loop_
_atom_site_label
_atom_site_fract_x
_atom_site_fract_y
_atom_site_fract_z
Cl1 0.591 0.654 0.637
Cl2 0.702 0.274 0.852
Cl3 0.422 0.298 0.148
Cl4 0.017 0.409 0.363
Cl5 0.346 0.955 0.363
Cl6 0.045 0.983 0.637
Cl7 0.726 0.850 0.148
Cl8 0.150 0.578 0.852
Cu1 0.500 0.500 0.000
Cu2 0.250 0.750 0.500
Na1 0.000 0.000 0.000
Nd1 0.750 0.250 0.500
```

---

# 8
Entry from the Alexandria database: crystalline Sc5GaCu at its relaxed geometry (PBE).

## Properties
VASP energy   -0.4162 Ry per atom
Calculated formation energy   -0.122 eV/atom

Structure (CIF):
```
data_Sc5GaCu
_cell_length_a 5.780
_cell_length_b 5.780
_cell_length_c 9.193
_cell_angle_alpha 88.43
_cell_angle_beta 88.43
_cell_angle_gamma 90.12
_space_group_name_H-M_alt 'P 1'
_space_group_IT_number 1
_space_group_name_Hall 'P 1'
loop_
_atom_site_label
_atom_site_fract_x
_atom_site_fract_y
_atom_site_fract_z
Sc1 0.418 0.238 0.004
Sc2 0.762 0.582 0.496
Sc3 0.855 0.145 0.250
Sc4 0.582 0.762 0.996
Sc5 0.382 0.949 0.334
Sc6 0.145 0.855 0.750
Sc7 0.051 0.618 0.166
Sc8 0.618 0.051 0.666
Sc9 0.238 0.418 0.504
Sc10 0.949 0.382 0.834
Cu1 0.000 0.000 0.000
Cu2 0.000 0.000 0.500
Ga1 0.488 0.512 0.750
Ga2 0.512 0.488 0.250
```

---

# 9
Entry from the Alexandria database: crystalline Ca3Cd at its relaxed geometry (PBE).

## Properties
VASP energy   -0.1358 Ry per atom
Calculated formation energy   -0.118 eV/atom

Structure (CIF):
```
data_Ca3Cd
_cell_length_a 7.282
_cell_length_b 7.282
_cell_length_c 11.837
_cell_angle_alpha 90.00
_cell_angle_beta 90.00
_cell_angle_gamma 120.00
_space_group_name_H-M_alt 'P 1'
_space_group_IT_number 1
_space_group_name_Hall 'P 1'
loop_
_atom_site_label
_atom_site_fract_x
_atom_site_fract_y
_atom_site_fract_z
Ca1 0.500 0.000 0.500
Ca2 0.500 0.500 0.500
Ca3 0.326 0.163 0.250
Ca4 0.000 0.500 0.000
Ca5 0.163 0.326 0.750
Ca6 0.500 0.000 0.000
Ca7 0.674 0.837 0.750
Ca8 0.163 0.837 0.750
Ca9 0.000 0.500 0.500
Ca10 0.500 0.500 0.000
Ca11 0.837 0.163 0.250
Ca12 0.837 0.674 0.250
Cd1 0.333 0.667 0.250
Cd2 0.000 0.000 0.000
Cd3 0.000 0.000 0.500
Cd4 0.667 0.333 0.750
```

---

# 10
Entry from the Alexandria database: crystalline La3SmRh at its relaxed geometry (PBE).

## Properties
E above lowest polymorph   0.00 eV per formula unit
VASP energy   -0.4143 Ry per atom
Calculated formation energy   -0.266 eV/atom

Structure (CIF):
```
data_La3SmRh
_cell_length_a 6.460
_cell_length_b 6.771
_cell_length_c 7.918
_cell_angle_alpha 90.01
_cell_angle_beta 90.00
_cell_angle_gamma 90.00
_space_group_name_H-M_alt 'P 1'
_space_group_IT_number 1
_space_group_name_Hall 'P 1'
loop_
_atom_site_label
_atom_site_fract_x
_atom_site_fract_y
_atom_site_fract_z
La1 0.425 0.858 0.952
La2 0.925 0.495 0.950
La3 0.423 0.324 0.201
La4 0.425 0.858 0.450
La5 0.923 0.028 0.701
La6 0.925 0.495 0.452
Rh1 0.674 0.675 0.201
Rh2 0.174 0.678 0.701
Sm1 0.931 0.019 0.201
Sm2 0.431 0.334 0.701
```

---

# 11
Entry from the Alexandria database: crystalline Ho4HgS2 at its relaxed geometry (PBE).

## Properties
VASP energy   -0.3781 Ry per atom

Structure (CIF):
```
data_Ho4HgS2
_cell_length_a 3.938
_cell_length_b 6.698
_cell_length_c 13.528
_cell_angle_alpha 90.00
_cell_angle_beta 90.00
_cell_angle_gamma 107.10
_space_group_name_H-M_alt 'P 1'
_space_group_IT_number 1
_space_group_name_Hall 'P 1'
loop_
_atom_site_label
_atom_site_fract_x
_atom_site_fract_y
_atom_site_fract_z
S1 0.865 0.730 0.941
S2 0.135 0.270 0.059
S3 0.865 0.730 0.559
S4 0.135 0.270 0.441
Ho1 0.932 0.864 0.750
Ho2 0.500 0.000 0.500
Ho3 0.500 0.000 0.000
Ho4 0.068 0.136 0.250
Ho5 0.768 0.537 0.118
Ho6 0.232 0.463 0.882
Ho7 0.232 0.463 0.618
Ho8 0.768 0.537 0.382
Hg1 0.389 0.777 0.250
Hg2 0.611 0.223 0.750
```

---

# 12
Entry from the Alexandria database: crystalline AlPO2 at its relaxed geometry (PBE).

## Properties
E above lowest polymorph   4.59 eV per formula unit
VASP energy   -0.4038 Ry per atom

Structure (CIF):
```
data_AlPO2
_cell_length_a 6.357
_cell_length_b 6.357
_cell_length_c 6.357
_cell_angle_alpha 27.35
_cell_angle_beta 27.35
_cell_angle_gamma 27.35
_space_group_name_H-M_alt 'P 1'
_space_group_IT_number 1
_space_group_name_Hall 'P 1'
loop_
_atom_site_label
_atom_site_fract_x
_atom_site_fract_y
_atom_site_fract_z
O1 0.105 0.105 0.105
O2 0.895 0.895 0.895
Al1 0.000 0.000 0.000
P1 0.500 0.500 0.500
```